1.
TaZnOs2 PBEsol optimized geometry; DOS at the Fermi energy = 2.61 states/eV/f.u.; total magnetization = 0.0 Bohr magnetons per cell; DFT formation energy = 4 kJ/mol of atoms
1.0
-1.846 1.279 -2.232
-1.765 -3.770 -0.701
-1.268 2.063 4.478
Os Ta Zn
2 1 1
direct
0.999 0.989 0.998
0.749 0.259 0.499
0.497 0.488 0.993
0.255 0.764 0.510



2.
TaZn2Os PBEsol optimized geometry; DOS at the Fermi energy = 3.42 states/eV/f.u.; total magnetization = 0.0 Bohr magnetons per cell; DFT formation energy = 21 kJ/mol of atoms; polymorph energy (0 for the lowest one) = 180 meV per atom
1.0
-1.267 1.694 1.738
-4.277 -0.984 -2.159
1.244 -2.902 3.735
Os Ta Zn
1 1 2
direct
0.500 0.000 0.000
0.500 0.500 0.500
0.000 0.500 0.000
0.000 0.000 0.500



3.
TaZnOs3 PBEsol optimized geometry; DOS at the Fermi energy = 6.81 states/eV/f.u.; total magnetization = 1.0 Bohr magnetons per cell; DFT formation energy = 230 kJ/mol of atoms
1.0
4.697 0.000 0.000
0.000 4.697 0.000
0.000 0.000 4.697
Zn Os Ta
1 3 1
direct
0.500 0.500 0.500
0.000 0.500 0.000
0.000 0.000 0.500
0.500 0.000 0.000
0.000 0.000 0.000